1.
This record from Alexandria via LeMat-Bulk describes crystalline AcTm3Ag4 at its relaxed geometry. The functional is PBE.

abc: 10.413 7.404 5.207
angles: 90.00 90.00 90.00
Sites, in units of the cell vectors:
Ac 0.000 0.000 0.000
Ac 0.500 0.000 0.000
Tm 0.000 0.500 0.000
Tm 0.250 0.000 0.500
Tm 0.250 0.500 0.499
Tm 0.500 0.500 0.000
Tm 0.750 0.000 0.500
Tm 0.750 0.500 0.501
Ag 0.000 0.276 0.500
Ag 0.000 0.724 0.500
Ag 0.250 0.276 0.998
Ag 0.250 0.724 0.998
Ag 0.500 0.276 0.500
Ag 0.500 0.724 0.500
Ag 0.750 0.276 0.002
Ag 0.750 0.724 0.002

## Properties
- electronic total energy (Ry/atom) = -0.2862
- calculated volume (Å³/cell) = 401.5
- density (kg/m3) = 9638

=====

2.
This record from Alexandria via LeMat-Bulk describes crystalline Zr3Zn at its relaxed geometry. The functional is PBE.

abc: 4.886 4.886 4.886
angles: 60.00 60.00 60.00
Sites, in units of the cell vectors:
Zr 0.000 0.000 0.000
Zr 0.250 0.250 0.250
Zr 0.750 0.750 0.750
Zn 0.500 0.500 0.500

## Properties
- electronic total energy (Ry/atom) = -0.4940
- calculated volume (Å³/cell) = 82.5
- density (kg/m3) = 6826

=====

For reference, ΔH_f (0 K) by record: -278 8 meV/atom.